(1)
VASP calculation (PBE) on ScH2PdAu after structural relaxation.

Its total moment is 0.0 μB/cell. The electronic total energy is -4.759 eV/atom.

The space group is I4mm (No. 107) and the conventional cell measures 3.542, 3.542 and 9.484 Å, with angles of 90.00, 90.00 and 90.00 degrees. Symmetry generates all atoms from Sc at (0.000, 0.000, 0.000), H at (0.000, 0.500, 0.368), Pd at (0.000, 0.000, 0.322) and Au at (0.000, 0.000, 0.652).



(2)
VASP calculation (PBE) on TaPd5Pt2 after structural relaxation.

The value obtained for the formation energy is -0.389 eV/atom. Its total moment is 0.0 μB/cell. The electronic total energy is -6.619 eV/atom.

The space group is Pbam (No. 55) and the conventional cell measures 5.634, 11.219 and 3.924 Å, with angles of 90.00, 90.00 and 90.00 degrees. Symmetry generates all atoms from Ta at (0.000, 0.000, 0.000), Pd at (0.000, 0.500, 0.000), Pd at (0.001, 0.244, 0.000), Pd at (0.249, 0.625, 0.500) and Pt at (0.243, 0.880, 0.500).



(3)
VASP calculation (PBE) on B4PtAu after structural relaxation.

Its total moment is 0.0 μB/cell. The electronic total energy is -5.434 eV/atom.

The space group is Immm (No. 71) and the conventional cell measures 2.683, 5.683 and 8.237 Å, with angles of 90.00, 90.00 and 90.00 degrees. Symmetry generates all atoms from B at (0.000, 0.148, 0.239), Pt at (0.000, 0.500, 0.500) and Au at (0.000, 0.500, 0.000).



(4)
VASP calculation (PBE) on BePOsO after structural relaxation.

Its total moment is 0.0 μB/cell. The electronic total energy is -6.077 eV/atom.

The space group is P4/nmm (No. 129, origin choice 2) and the conventional cell measures 3.386, 3.386 and 7.565 Å, with angles of 90.00, 90.00 and 90.00 degrees. Symmetry generates all atoms from Be at (0.250, 0.750, 0.000), P at (0.250, 0.250, 0.196), Os at (0.250, 0.250, 0.683) and O at (0.250, 0.750, 0.500).



(5)
VASP calculation (PBE) on TlAgGeSe3 after structural relaxation.

The electronic total energy is -3.522 eV/atom.

The space group is Cmcm (No. 63) and the conventional cell measures 3.765, 14.079 and 11.056 Å, with angles of 90.00, 90.00 and 90.00 degrees. Symmetry generates all atoms from Tl at (0.000, 0.207, 0.250), Ag at (0.000, 0.117, 0.750), Ge at (0.000, 0.500, 0.000), Se at (0.000, 0.132, 0.520) and Se at (0.000, 0.469, 0.750).



(6)
VASP calculation (PBE) on PmSmSi2 after structural relaxation.

Its total moment is 0.0 μB/cell. The electronic total energy is -5.871 eV/atom.

The space group is Pmc2_1 (No. 26) and the conventional cell measures 3.910, 5.857 and 8.150 Å, with angles of 90.00, 90.00 and 90.00 degrees. Symmetry generates all atoms from Pm at (0.000, 0.136, 0.000), Sm at (0.500, 0.364, 0.359), Si at (0.000, 0.375, 0.644) and Si at (0.500, 0.127, 0.715).



(7)
VASP calculation (PBE) on TbAsPbO after structural relaxation.

Its total moment is 0.1 μB/cell. The electronic total energy is -5.905 eV/atom.

The space group is P4/nmm (No. 129, origin choice 2) and the conventional cell measures 4.287, 4.287 and 9.644 Å, with angles of 90.00, 90.00 and 90.00 degrees. Symmetry generates all atoms from Tb at (0.250, 0.250, 0.095), As at (0.250, 0.250, 0.733), Pb at (0.250, 0.750, 0.500) and O at (0.250, 0.750, 0.000).



(8)
VASP calculation (PBE) on Er2Nb after structural relaxation.

The value obtained for the formation energy is 2.295 eV/atom. Its total moment is 16.0 μB/cell. The electronic total energy is -4.111 eV/atom.

The space group is Fd-3m (No. 227, origin choice 2) and the conventional cell measures 12.049, 12.049 and 12.049 Å, with angles of 90.00, 90.00 and 90.00 degrees. Symmetry generates all atoms from Er at (0.000, 0.000, 0.000) and Nb at (0.125, 0.125, 0.125).